Entry 1:
Below is KU2PdS4 after structural relaxation, with properties calculated at the PBE-GGA level.

a = 4.009 Å, b = 6.971 Å, c = 13.865 Å
α = 90.00°, β = 90.00°, γ = 106.71°
Positions (direct):
S (0.735, 0.469, 0.897)
S (0.564, 0.128, 0.250)
S (0.000, 0.000, 0.500)
S (0.436, 0.872, 0.750)
S (0.000, 0.000, 0.000)
K (0.111, 0.222, 0.750)
K (0.889, 0.778, 0.250)
S (0.735, 0.469, 0.603)
Pd (0.832, 0.664, 0.750)
S (0.265, 0.531, 0.397)
U (0.368, 0.736, 0.935)
U (0.368, 0.736, 0.565)
U (0.632, 0.264, 0.065)
U (0.632, 0.264, 0.435)
S (0.265, 0.531, 0.103)
Pd (0.168, 0.336, 0.250)

## Properties
For the calculated volume, the calculation gives 371.2 Å³/cell. The value obtained for the density of states at the Fermi level is 25.41 states/eV per cell. The value obtained for the total energy is -6.93 eV/atom.


Entry 2:
Below is GdTmLuGa after structural relaxation, with properties calculated at the PBE-GGA level.

a = 5.267 Å, b = 5.267 Å, c = 5.267 Å
α = 60.00°, β = 60.00°, γ = 60.00°
Positions (direct):
Ga (0.250, 0.250, 0.250)
Gd (0.000, 0.000, 0.000)
Tm (0.500, 0.500, 0.500)
Lu (0.750, 0.750, 0.750)

## Properties
For the calculated volume, the calculation gives 103.3 Å³/cell. The value obtained for the density of states at the Fermi level is 5.53 states/eV per cell. The value obtained for the total energy is -6.64 eV/atom.


Entry 3:
Below is Ba3ZnAu2 after structural relaxation, with properties calculated at the PBE-GGA level.

a = 4.680 Å, b = 13.742 Å, c = 13.281 Å
α = 90.00°, β = 90.00°, γ = 90.00°
Positions (direct):
Ba (0.750, 0.876, 0.443)
Ba (0.750, 0.941, 0.125)
Zn (0.250, 0.133, 0.120)
Ba (0.750, 0.559, 0.625)
Au (0.750, 0.517, 0.196)
Zn (0.250, 0.367, 0.620)
Ba (0.250, 0.059, 0.875)
Au (0.750, 0.185, 0.029)
Zn (0.750, 0.867, 0.880)
Ba (0.250, 0.806, 0.707)
Au (0.250, 0.483, 0.804)
Ba (0.250, 0.376, 0.057)
Ba (0.750, 0.194, 0.293)
Zn (0.750, 0.633, 0.380)
Au (0.250, 0.815, 0.971)
Ba (0.750, 0.306, 0.793)
Au (0.750, 0.983, 0.696)
Ba (0.250, 0.441, 0.375)
Ba (0.750, 0.624, 0.943)
Au (0.750, 0.315, 0.529)
Au (0.250, 0.017, 0.304)
Au (0.250, 0.685, 0.471)
Ba (0.250, 0.694, 0.207)
Ba (0.250, 0.124, 0.557)

## Properties
For the calculated volume, the calculation gives 854.1 Å³/cell. The value obtained for the density of states at the Fermi level is 16.93 states/eV per cell. The value obtained for the total energy is -2.81 eV/atom.


Entry 4:
Below is NiAgBr6 after structural relaxation, with properties calculated at the PBE-GGA level.

a = 6.297 Å, b = 8.329 Å, c = 7.175 Å
α = 49.57°, β = 62.92°, γ = 67.09°
Positions (direct):
Br (0.648, 0.106, 0.275)
Br (0.229, 0.865, 0.283)
Br (0.930, 0.652, 0.196)
Ni (0.000, 0.000, 0.000)
Ag (0.500, 0.500, 0.500)
Br (0.070, 0.348, 0.804)
Br (0.352, 0.894, 0.725)
Br (0.771, 0.135, 0.717)

## Properties
For the calculated volume, the calculation gives 252.6 Å³/cell. The value obtained for the density of states at the Fermi level is 4.91 states/eV per cell. The value obtained for the total energy is -2.46 eV/atom.


Entry 5:
Below is Mg2TaTe after structural relaxation, with properties calculated at the PBE-GGA level.

a = 5.133 Å, b = 2.999 Å, c = 5.550 Å
α = 87.73°, β = 90.00°, γ = 90.00°
Positions (direct):
Mg (0.500, 0.160, 0.273)
Te (0.500, 0.595, 0.742)
Ta (0.000, 0.630, 0.490)
Mg (0.000, 0.115, 0.994)

## Properties
For the calculated volume, the calculation gives 85.4 Å³/cell. The value obtained for the density of states at the Fermi level is 2.53 states/eV per cell. The value obtained for the total energy is -4.37 eV/atom.


Entry 6:
Below is PmCrS3 after structural relaxation, with properties calculated at the PBE-GGA level.

a = 3.679 Å, b = 7.553 Å, c = 7.554 Å
α = 71.20°, β = 89.99°, γ = 89.99°
Positions (direct):
S (0.862, 0.768, 0.423)
Pm (0.363, 0.694, 0.747)
S (0.864, 0.371, 0.820)
S (0.363, 0.368, 0.420)
S (0.864, 0.017, 0.673)
S (0.862, 0.621, 0.069)
Cr (0.363, 0.694, 0.246)
S (0.363, 0.021, 0.073)
Cr (0.364, 0.194, 0.746)
Pm (0.863, 0.194, 0.247)

## Properties
For the calculated volume, the calculation gives 198.7 Å³/cell. The value obtained for the density of states at the Fermi level is 1.69 states/eV per cell. The value obtained for the total energy is -6.57 eV/atom.